## one
LiTaInFe: relaxed, PBE.

```
LiTaInFe
1.0
0.0000 3.1000 3.1000
3.1000 0.0000 3.1000
3.1000 3.1000 0.0000
In Fe Li Ta
1 1 1 1
direct
0.0000 0.0000 0.0000 In
0.7500 0.7500 0.7500 Fe
0.2500 0.2500 0.2500 Li
0.5000 0.5000 0.5000 Ta
```

Results
Space group: F-43m

---

## two
LiTaInFe: relaxed, PBE.

```
LiTaInFe
1.0
-2.8005 -0.6801 3.4829
-3.6297 -2.6474 -0.5018
-0.1492 -4.0389 2.0251
Ta In Fe Li
1 1 1 1
direct
0.2500 0.2500 0.2500 Ta
0.0000 0.0000 0.0000 In
0.7500 0.7500 0.7500 Fe
0.5000 0.5000 0.5000 Li
```

Results
Space group: F-43m

---

Quick look at relative energies in meV/atom: one 0; two 505.

---

## one
LiYInFe: relaxed, PBE.

```
LiYInFe
1.0
0.0000 3.3243 3.3243
3.3243 0.0000 3.3243
3.3243 3.3243 0.0000
Y Fe Li In
1 1 1 1
direct
0.5000 0.5000 0.5000 Y
0.7500 0.7500 0.7500 Fe
0.2500 0.2500 0.2500 Li
0.0000 0.0000 0.0000 In
```

Results
Space group: F-43m

---

## two
LiYInFe: relaxed, PBE.

```
LiYInFe
1.0
0.0000 3.4098 3.4098
3.4098 0.0000 3.4098
3.4098 3.4098 0.0000
Fe Li In Y
1 1 1 1
direct
0.7500 0.7500 0.7500 Fe
0.5000 0.5000 0.5000 Li
0.0000 0.0000 0.0000 In
0.2500 0.2500 0.2500 Y
```

Results
Space group: F-43m

---

Quick look at relative energies in meV/atom: one 0; two 91.

---

## one
LuMgInFe: relaxed, PBE.

```
LuMgInFe
1.0
0.0000 3.3946 3.3946
3.3946 0.0000 3.3946
3.3946 3.3946 0.0000
In Mg Lu Fe
1 1 1 1
direct
0.0000 0.0000 0.0000 In
0.2500 0.2500 0.2500 Mg
0.5000 0.5000 0.5000 Lu
0.7500 0.7500 0.7500 Fe
```

Results
Space group: F-43m

---

## two
LuMgInFe: relaxed, PBE.

```
LuMgInFe
1.0
-2.5838 0.6769 4.0339
-4.8286 -0.2643 -0.1472
-2.2825 -3.7324 2.0656
Mg In Fe Lu
1 1 1 1
direct
0.5000 0.5000 0.5000 Mg
0.0000 0.0000 0.0000 In
0.7500 0.7500 0.7500 Fe
0.2500 0.2500 0.2500 Lu
```

Results
Space group: F-43m

---

Quick look at relative energies in meV/atom: one 0; two 16.

---

## one
LuInFeMo: relaxed, PBE.

```
LuInFeMo
1.0
0.0000 3.3133 3.3133
3.3133 0.0000 3.3133
3.3133 3.3133 0.0000
In Fe Lu Mo
1 1 1 1
direct
0.0000 0.0000 0.0000 In
0.7500 0.7500 0.7500 Fe
0.2500 0.2500 0.2500 Lu
0.5000 0.5000 0.5000 Mo
```

Results
Space group: F-43m

---

## two
LuInFeMo: relaxed, PBE.

```
LuInFeMo
1.0
0.6151 -3.9761 -2.4236
-3.7250 -2.4359 -1.5005
-1.0241 -0.1399 -4.5818
Mo Fe In Lu
1 1 1 1
direct
0.2500 0.2500 0.2500 Mo
0.7500 0.7500 0.7500 Fe
0.0000 0.0000 0.0000 In
0.5000 0.5000 0.5000 Lu
```

Results
Space group: F-43m

---

Quick look at relative energies in meV/atom: one 61; two 0.

---

## one
LuInFeOs: relaxed, PBE.

```
LuInFeOs
1.0
0.0000 3.2468 3.2468
3.2468 0.0000 3.2468
3.2468 3.2468 0.0000
Lu In Os Fe
1 1 1 1
direct
0.5000 0.5000 0.5000 Lu
0.0000 0.0000 0.0000 In
0.2500 0.2500 0.2500 Os
0.7500 0.7500 0.7500 Fe
```

Results
Space group: F-43m

---

## two
LuInFeOs: relaxed, PBE.

```
LuInFeOs
1.0
0.0000 3.3020 3.3020
3.3020 0.0000 3.3020
3.3020 3.3020 0.0000
In Lu Os Fe
1 1 1 1
direct
0.0000 0.0000 0.0000 In
0.2500 0.2500 0.2500 Lu
0.5000 0.5000 0.5000 Os
0.7500 0.7500 0.7500 Fe
```

Results
Space group: F-43m

---

Quick look at relative energies in meV/atom: one 0; two 86.

---

## one
LuInFePt: relaxed, PBE.

```
LuInFePt
1.0
-4.1451 -2.0759 -0.6123
-3.9137 2.5587 -0.0357
-2.3555 0.6143 -3.9925
Pt Fe In Lu
1 1 1 1
direct
0.5000 0.5000 0.5000 Pt
0.7500 0.7500 0.7500 Fe
0.0000 0.0000 0.0000 In
0.2500 0.2500 0.2500 Lu
```

Results
Space group: F-43m

---

## two
LuInFePt: relaxed, PBE.

```
LuInFePt
1.0
0.0000 3.2708 3.2708
3.2708 0.0000 3.2708
3.2708 3.2708 0.0000
Pt Fe In Lu
1 1 1 1
direct
0.2500 0.2500 0.2500 Pt
0.7500 0.7500 0.7500 Fe
0.0000 0.0000 0.0000 In
0.5000 0.5000 0.5000 Lu
```

Results
Space group: F-43m

---

Quick look at relative energies in meV/atom: one 180; two 0.

---

## one
LuInFeTe3: relaxed, PBE.

```
LuInFeTe3
1.0
4.2153 0.0000 0.0000
0.0000 12.4812 0.0000
0.0000 0.0000 12.8253
In Fe Te Lu
4 4 12 4
direct
0.2500 0.0079 0.8114 In
0.2500 0.4921 0.3114 In
0.7500 0.5079 0.6886 In
0.7500 0.9921 0.1886 In
0.7500 0.1657 0.7771 Fe
0.2500 0.6657 0.7229 Fe
0.7500 0.3343 0.2771 Fe
0.2500 0.8343 0.2229 Fe
0.2500 0.5580 0.8988 Te
0.7500 0.7918 0.7591 Te
0.2500 0.6414 0.5195 Te
0.7500 0.3586 0.4805 Te
0.2500 0.2918 0.7409 Te
0.2500 0.2082 0.2409 Te
0.7500 0.1414 0.9805 Te
0.7500 0.0580 0.6012 Te
0.7500 0.7082 0.2591 Te
0.2500 0.8586 0.0195 Te
0.2500 0.9420 0.3988 Te
0.7500 0.4420 0.1012 Te
0.2500 0.3151 0.9782 Lu
0.2500 0.1849 0.4782 Lu
0.7500 0.8151 0.5218 Lu
0.7500 0.6849 0.0218 Lu
```

Results
Space group: Pnma

---

## two
LuInFeTe3: relaxed, PBE.

```
LuInFeTe3
1.0
2.1060 -7.7511 0.0000
2.1060 7.7511 0.0000
0.0000 0.0000 11.0419
Fe Te In Lu
2 6 2 2
direct
0.4733 0.5267 0.7500 Fe
0.5267 0.4733 0.2500 Fe
0.6325 0.3675 0.0649 Te
0.0789 0.9211 0.7500 Te
0.3675 0.6325 0.5649 Te
0.9211 0.0789 0.2500 Te
0.3675 0.6325 0.9351 Te
0.6325 0.3675 0.4351 Te
0.2421 0.7579 0.2500 In
0.7579 0.2421 0.7500 In
0.0000 0.0000 0.0000 Lu
0.0000 0.0000 0.5000 Lu
```

Results
Space group: Cmcm

---

Quick look at relative energies in meV/atom: one 50; two 0.

---

## one
MgTaInFe: relaxed, PBE.

```
MgTaInFe
1.0
0.0000 3.1809 3.1809
3.1809 0.0000 3.1809
3.1809 3.1809 0.0000
Fe Mg Ta In
1 1 1 1
direct
0.2500 0.2500 0.2500 Fe
0.7500 0.7500 0.7500 Mg
0.5000 0.5000 0.5000 Ta
0.0000 0.0000 0.0000 In
```

Results
Space group: F-43m

---

## two
MgTaInFe: relaxed, PBE.

```
MgTaInFe
1.0
0.0000 3.2528 3.2528
3.2528 0.0000 3.2528
3.2528 3.2528 0.0000
Ta Mg Fe In
1 1 1 1
direct
0.2500 0.2500 0.2500 Ta
0.7500 0.7500 0.7500 Mg
0.5000 0.5000 0.5000 Fe
0.0000 0.0000 0.0000 In
```

Results
Space group: F-43m

---

Quick look at relative energies in meV/atom: one 0; two 80.

---

## one
MgZrInFe: relaxed, PBE.

```
MgZrInFe
1.0
0.0000 3.3517 3.3517
3.3517 0.0000 3.3517
3.3517 3.3517 0.0000
Mg In Zr Fe
1 1 1 1
direct
0.5000 0.5000 0.5000 Mg
0.0000 0.0000 0.0000 In
0.2500 0.2500 0.2500 Zr
0.7500 0.7500 0.7500 Fe
```

Results
Space group: F-43m

---

## two
MgZrInFe: relaxed, PBE.

```
MgZrInFe
1.0
0.0000 3.3052 3.3052
3.3052 0.0000 3.3052
3.3052 3.3052 0.0000
Mg Fe Zr In
1 1 1 1
direct
0.2500 0.2500 0.2500 Mg
0.7500 0.7500 0.7500 Fe
0.5000 0.5000 0.5000 Zr
0.0000 0.0000 0.0000 In
```

Results
Space group: F-43m

---

Quick look at relative energies in meV/atom: one 164; two 0.

---

## one
NaInFeTe: relaxed, PBE.

```
NaInFeTe
1.0
2.6339 -3.8771 1.6744
-2.1706 -3.4205 2.8917
-0.8844 -4.5637 -1.7786
In Te Fe Na
1 1 1 1
direct
0.0000 0.0000 0.0000 In
0.5000 0.5000 0.5000 Te
0.2500 0.2500 0.2500 Fe
0.7500 0.7500 0.7500 Na
```

Results
Space group: F-43m

---

## two
NaInFeTe: relaxed, PBE.

```
NaInFeTe
1.0
2.7410 -1.9467 3.9327
-1.4115 -4.4799 2.1696
2.8840 -4.2374 -0.7042
Na In Te Fe
1 1 1 1
direct
0.7500 0.7500 0.7500 Na
0.2500 0.2500 0.2500 In
0.5000 0.5000 0.5000 Te
0.0000 0.0000 0.0000 Fe
```

Results
Space group: F-43m

---

Quick look at relative energies in meV/atom: one 0; two 188.

---

## one
NaInFeW: relaxed, PBE.

```
NaInFeW
1.0
3.1162 3.1432 1.2385
-0.1439 1.8454 4.2069
3.2344 -1.0629 3.0876
W Fe Na In
1 1 1 1
direct
0.2500 0.2500 0.2500 W
0.5000 0.5000 0.5000 Fe
0.7500 0.7500 0.7500 Na
0.0000 0.0000 0.0000 In
```

Results
Space group: F-43m

---

## two
NaInFeW: relaxed, PBE.

```
NaInFeW
1.0
0.0000 3.1414 3.1414
3.1414 0.0000 3.1414
3.1414 3.1414 0.0000
In W Fe Na
1 1 1 1
direct
0.0000 0.0000 0.0000 In
0.5000 0.5000 0.5000 W
0.2500 0.2500 0.2500 Fe
0.7500 0.7500 0.7500 Na
```

Results
Space group: F-43m

---

Quick look at relative energies in meV/atom: one 86; two 0.

---

## one
NbInFePd: relaxed, PBE.

```
NbInFePd
1.0
0.0000 3.1959 3.1959
3.1959 0.0000 3.1959
3.1959 3.1959 0.0000
Fe Nb In Pd
1 1 1 1
direct
0.7500 0.7500 0.7500 Fe
0.5000 0.5000 0.5000 Nb
0.0000 0.0000 0.0000 In
0.2500 0.2500 0.2500 Pd
```

Results
Space group: F-43m

---

## two
NbInFePd: relaxed, PBE.

```
NbInFePd
1.0
0.0000 3.2271 3.2271
3.2271 0.0000 3.2271
3.2271 3.2271 0.0000
In Pd Fe Nb
1 1 1 1
direct
0.0000 0.0000 0.0000 In
0.5000 0.5000 0.5000 Pd
0.7500 0.7500 0.7500 Fe
0.2500 0.2500 0.2500 Nb
```

Results
Space group: F-43m

---

Quick look at relative energies in meV/atom: one 0; two 230.